Record 1
MgPaPb (PBE, optimized geometry); DFT formation energy = 242 meV/atom; space group = Fmmm; total energy = -14.1 eV per formula unit
1.0
-0.933 5.751 0.430
-1.339 3.055 -4.073
-6.438 1.819 1.386
Mg Pa Pb
2 2 2
Cartesian
-4.589 6.750 -1.021 Mg
-4.122 3.875 -1.236 Mg
-1.194 5.805 -0.851 Pa
-1.079 3.001 -2.792 Pa
-5.391 4.962 1.304 Pb
-1.980 2.608 0.512 Pb



Record 2
Mg2PaPb2 (PBE, optimized geometry); DFT formation energy = 141 meV/atom; space group = I4/mmm; total energy = -19.4 eV per formula unit
1.0
-2.979 -0.094 -3.143
0.678 -4.247 -0.516
-3.857 0.790 6.616
Mg Pa Pb
2 1 2
Cartesian
-3.993 -0.737 0.822 Mg
-2.165 -2.814 2.136 Mg
0.000 0.000 0.000 Pa
-3.934 -1.084 3.761 Pb
-2.224 -2.466 -0.803 Pb



Record 3
MgPaPb (PBE, optimized geometry); DFT formation energy = 173 meV/atom; space group = I4mm; total energy = -14.3 eV per formula unit
1.0
-0.889 -2.979 -0.827
1.475 0.348 -2.838
6.071 -1.408 4.807
Pb Mg Pa
1 1 1
Cartesian
3.639 -1.558 1.701 Pb
6.019 -3.767 0.844 Mg
1.748 -1.938 -1.153 Pa



Record 4
MgPaPd (PBE, optimized geometry); DFT formation energy = -288 meV/atom; space group = I4mm; total energy = -17.1 eV per formula unit
1.0
3.199 0.000 0.000
0.000 3.199 0.000
-1.599 -1.599 6.107
Mg Pa Pd
1 1 1
Cartesian
0.000 0.000 3.768 Mg
0.000 0.000 0.211 Pa
1.599 1.599 2.128 Pd



Record 5
Mg2PaPd9 (PBE, optimized geometry); DFT formation energy = -631 meV/atom; space group = P4/mmm; total energy = -67.0 eV per formula unit
1.0
-3.346 2.157 0.861
0.720 -0.471 3.981
6.438 9.981 0.016
Mg Pa Pd
2 1 9
Cartesian
2.202 3.414 0.005 Mg
4.236 6.567 0.010 Mg
0.000 0.000 0.000 Pa
-1.313 0.843 2.421 Pd
0.846 4.190 2.426 Pd
2.966 7.476 2.431 Pd
-0.581 2.772 0.433 Pd
1.546 6.069 0.438 Pd
3.673 9.366 0.443 Pd
1.452 1.458 1.993 Pd
3.579 4.755 1.998 Pd
5.706 8.052 2.003 Pd



Record 6
MgPa2Pd9 (PBE, optimized geometry); DFT formation energy = -749 meV/atom; space group = P4/mmm; total energy = -76.3 eV per formula unit
1.0
-1.166 -3.946 0.135
1.908 -0.440 3.622
-10.175 3.204 5.748
Mg Pa Pd
1 2 9
Cartesian
0.000 0.000 0.000 Mg
-3.288 1.035 1.858 Pa
-6.887 2.168 3.891 Pa
0.371 -2.193 1.879 Pd
-3.008 -1.129 3.787 Pd
-6.425 -0.053 5.718 Pd
-2.249 -1.449 1.009 Pd
-5.671 -0.371 2.942 Pd
-9.093 0.706 4.875 Pd
-0.712 0.305 2.752 Pd
-4.134 1.382 4.685 Pd
-7.556 2.459 6.618 Pd



Record 7
MgPaPd5 (PBE, optimized geometry); DFT formation energy = 63 meV/atom; space group = Imm2; total energy = -36.6 eV per formula unit
1.0
-2.168 3.952 2.824
3.063 -2.577 5.958
3.197 1.862 -5.162
Mg Pa Pd
1 1 5
Cartesian
-0.746 1.359 0.971 Mg
0.215 1.112 4.694 Pa
2.064 0.871 -0.684 Pd
1.288 -0.845 3.296 Pd
2.482 1.538 3.713 Pd
-1.249 2.835 3.473 Pd
0.678 1.214 7.219 Pd



Record 8
Mg4PaPd5 (PBE, optimized geometry); DFT formation energy = -679 meV/atom; space group = P4/mmm; total energy = -48.6 eV per formula unit
1.0
3.215 0.000 0.000
0.000 3.215 0.000
0.000 0.000 16.550
Mg Pa Pd
4 1 5
Cartesian
0.000 0.000 3.609 Mg
0.000 0.000 6.722 Mg
0.000 0.000 9.828 Mg
0.000 0.000 12.941 Mg
0.000 0.000 0.000 Pa
1.608 1.608 1.998 Pd
1.608 1.608 5.161 Pd
1.608 1.608 8.275 Pd
1.608 1.608 11.389 Pd
1.608 1.608 14.552 Pd



Record 9
Mg2PaPd5 (PBE, optimized geometry); DFT formation energy = -738 meV/atom; space group = I4/mmm; total energy = -44.6 eV per formula unit
1.0
3.932 0.000 -1.474
-0.553 3.893 -1.474
0.832 0.958 8.199
Mg Pa Pd
2 1 5
Cartesian
1.278 1.473 3.409 Mg
2.933 3.379 1.841 Mg
0.000 0.000 0.000 Pa
1.689 1.946 -1.474 Pd
2.617 0.750 0.998 Pd
0.374 2.696 0.998 Pd
1.594 4.102 4.252 Pd
3.837 2.155 4.252 Pd



Record 10
Mg2PaPd (PBE, optimized geometry); DFT formation energy = -28 meV/atom; space group = R-3m; total energy = -18.0 eV per formula unit
1.0
-2.442 -1.744 -0.548
-0.053 -1.827 -2.442
3.447 -8.985 4.740
Mg Pa Pd
2 1 1
Cartesian
2.139 -6.601 2.986 Mg
-1.186 -5.954 -1.235 Mg
0.000 0.000 0.000 Pa
0.476 -6.278 0.875 Pd



Record 11
MgPaPd (PBE, optimized geometry); DFT formation energy = -371 meV/atom; space group = R-3m; total energy = -17.4 eV per formula unit
1.0
-4.207 2.057 0.409
-3.918 -2.578 -0.320
-2.567 -1.222 6.752
Mg Pa Pd
2 2 2
Cartesian
-2.693 -0.284 0.740 Mg
-7.999 -1.459 6.101 Mg
-2.625 -0.791 3.985 Pa
-8.067 -0.952 2.856 Pa
-5.317 -1.089 4.815 Pd
-5.375 -0.654 2.026 Pd



Record 12
MgPaPd6 (PBE, optimized geometry); DFT formation energy = -739 meV/atom; space group = P4/mmm; total energy = -48.2 eV per formula unit
1.0
4.096 0.000 0.000
0.000 4.096 0.000
0.000 0.000 7.983
Mg Pa Pd
1 1 6
Cartesian
0.000 0.000 0.000 Mg
0.000 0.000 3.991 Pa
2.048 2.048 0.000 Pd
2.048 2.048 3.991 Pd
2.048 0.000 1.984 Pd
2.048 0.000 5.998 Pd
0.000 2.048 1.984 Pd
0.000 2.048 5.998 Pd



> Which formula does entry 7 have?

MgPaPd5



> Which of these has the lowest DFT formation energy?

MgPa2Pd9



> Which value of DFT formation energy does entry 6 give?

-749 meV/atom



> Look up the DFT formation energy of the seventh one.

63 meV/atom